No. 1
Compound: CuIrRh
Source: Alexandria via LeMat-Bulk
Functional: GGA-PBE
Structure: relaxed

Cell: 5.915 5.915 5.915 Å, 153.45 153.45 37.90°
Element x y z (fractional)
Cu (0.000, 0.000, 0.000)
Rh (0.668, 0.668, 0.000)
Ir (0.333, 0.333, 0.000)

Output
Formation energy from the elements, meV/atom: 88
Polymorph energy (0 for the lowest one), eV per atom: 0.076

No. 2
Compound: CuIr2Rh7
Source: Alexandria via LeMat-Bulk
Functional: GGA-PBE
Structure: relaxed

Cell: 2.650 8.325 8.325 Å, 118.28 90.00 90.00°
Element x y z (fractional)
Rh (0.500, 0.500, 0.500)
Rh (0.000, 0.338, 0.662)
Rh (0.500, 0.147, 0.336)
Rh (0.500, 0.853, 0.664)
Rh (0.500, 0.336, 0.147)
Rh (0.500, 0.664, 0.853)
Rh (0.000, 0.662, 0.338)
Cu (0.000, 0.000, 0.000)
Ir (0.500, 0.815, 0.185)
Ir (0.500, 0.185, 0.815)

Output
Formation energy from the elements, meV/atom: 426
Polymorph energy (0 for the lowest one), eV per atom: 0.000

No. 3
Compound: CuIrRh2
Source: Alexandria via LeMat-Bulk
Functional: GGA-PBE
Structure: relaxed

Cell: 6.038 4.669 2.710 Å, 90.01 63.31 121.08°
Element x y z (fractional)
Rh (0.000, 0.000, 0.000)
Rh (0.500, 0.000, 0.500)
Ir (0.500, 0.500, 0.000)
Cu (0.000, 0.500, 0.500)

Output
Formation energy from the elements, meV/atom: 78
Polymorph energy (0 for the lowest one), eV per atom: 0.057

No. 4
Compound: CuIr2Rh
Source: Alexandria via LeMat-Bulk
Functional: GGA-PBE
Structure: relaxed

Cell: 4.678 4.678 4.678 Å, 131.91 131.91 70.37°
Element x y z (fractional)
Ir (0.000, 0.000, 0.000)
Ir (0.250, 0.750, 0.500)
Cu (0.750, 0.250, 0.500)
Rh (0.500, 0.500, 0.000)

Output
Formation energy from the elements, meV/atom: 59
Polymorph energy (0 for the lowest one), eV per atom: 0.016

No. 5
Compound: CuIrRh
Source: Alexandria via LeMat-Bulk
Functional: GGA-PBE
Structure: relaxed

Cell: 2.736 2.736 10.943 Å, 90.00 90.00 90.00°
Element x y z (fractional)
Rh (0.000, 0.500, 0.260)
Rh (0.500, 0.000, 0.740)
Cu (0.000, 0.500, 0.574)
Cu (0.500, 0.000, 0.426)
Ir (0.500, 0.000, 0.087)
Ir (0.000, 0.500, 0.913)

Output
Formation energy from the elements, meV/atom: 12
Polymorph energy (0 for the lowest one), eV per atom: 0.000

No. 6
Compound: Cu2IrRh
Source: Alexandria via LeMat-Bulk
Functional: GGA-PBE
Structure: relaxed

Cell: 4.648 5.172 2.644 Å, 75.59 89.13 116.45°
Element x y z (fractional)
Cu (0.500, 0.000, 0.500)
Cu (0.000, 0.000, 0.000)
Ir (0.000, 0.500, 0.500)
Rh (0.500, 0.500, 0.000)

Output
Formation energy from the elements, meV/atom: 164
Polymorph energy (0 for the lowest one), eV per atom: 0.115

No. 7
Compound: CuIrRh2
Source: Alexandria via LeMat-Bulk
Functional: GGA-PBE
Structure: relaxed

Cell: 2.732 4.529 4.557 Å, 90.00 90.00 90.00°
Element x y z (fractional)
Rh (0.000, 0.000, 0.000)
Rh (0.500, 0.500, 0.000)
Ir (0.000, 0.500, 0.500)
Cu (0.500, 0.000, 0.500)

Output
Formation energy from the elements, meV/atom: 245
Polymorph energy (0 for the lowest one), eV per atom: 0.224

No. 8
Compound: Cu3IrRh12
Source: Alexandria via LeMat-Bulk
Functional: GGA-PBE
Structure: relaxed

Cell: 3.830 3.830 15.220 Å, 90.00 90.00 90.00°
Element x y z (fractional)
Rh (0.500, 0.000, 0.624)
Rh (0.500, 0.000, 0.125)
Rh (0.000, 0.500, 0.376)
Rh (0.500, 0.500, 0.000)
Rh (0.500, 0.500, 0.749)
Rh (0.000, 0.500, 0.125)
Rh (0.000, 0.500, 0.624)
Rh (0.500, 0.500, 0.251)
Rh (0.500, 0.000, 0.875)
Rh (0.000, 0.500, 0.875)
Rh (0.500, 0.500, 0.500)
Rh (0.500, 0.000, 0.376)
Ir (0.000, 0.000, 0.000)
Cu (0.000, 0.000, 0.749)
Cu (0.000, 0.000, 0.251)
Cu (0.000, 0.000, 0.500)

Output
Formation energy from the elements, meV/atom: 63

No. 9
Compound: CuIr2Rh
Source: Alexandria via LeMat-Bulk
Functional: GGA-PBE
Structure: relaxed

Cell: 4.694 4.694 4.694 Å, 132.21 132.21 69.90°
Element x y z (fractional)
Rh (0.250, 0.750, 0.500)
Cu (0.750, 0.250, 0.500)
Ir (0.000, 0.000, 0.000)
Ir (0.500, 0.500, 0.000)

Output
Formation energy from the elements, meV/atom: 76
Polymorph energy (0 for the lowest one), eV per atom: 0.033

No. 10
Compound: CuIr2Rh8
Source: Alexandria via LeMat-Bulk
Functional: GGA-PBE
Structure: relaxed

Cell: 4.659 6.803 6.899 Å, 60.46 75.99 60.58°
Element x y z (fractional)
Rh (0.692, 0.588, 0.000)
Rh (0.500, 0.212, 0.576)
Rh (0.853, 0.328, 0.771)
Rh (0.147, 0.672, 0.229)
Rh (0.147, 0.901, 0.771)
Rh (0.308, 0.412, 0.000)
Rh (0.853, 0.099, 0.229)
Rh (0.500, 0.788, 0.424)
Cu (0.500, 0.000, 0.000)
Ir (0.000, 0.694, 0.611)
Ir (0.000, 0.306, 0.389)

Output
Formation energy from the elements, meV/atom: 294
Polymorph energy (0 for the lowest one), eV per atom: 0.000

No. 11
Compound: Cu2Ir2Rh
Source: Alexandria via LeMat-Bulk
Functional: GGA-PBE
Structure: relaxed

Cell: 7.132 7.132 2.795 Å, 90.00 90.00 90.00°
Element x y z (fractional)
Ir (0.872, 0.628, 0.000)
Ir (0.128, 0.372, 0.000)
Ir (0.372, 0.872, 0.000)
Ir (0.628, 0.128, 0.000)
Rh (0.000, 0.000, 0.000)
Rh (0.500, 0.500, 0.000)
Cu (0.671, 0.829, 0.500)
Cu (0.829, 0.329, 0.500)
Cu (0.329, 0.171, 0.500)
Cu (0.171, 0.671, 0.500)

Output
Formation energy from the elements, meV/atom: 410

No. 12
Compound: CuIr2Rh
Source: Alexandria via LeMat-Bulk
Functional: GGA-PBE
Structure: relaxed

Cell: 2.701 2.701 9.084 Å, 90.00 90.00 120.07°
Element x y z (fractional)
Rh (0.000, 0.000, 0.505)
Ir (0.500, 0.500, 0.250)
Ir (0.000, 0.000, 0.995)
Cu (0.500, 0.500, 0.749)

Output
Formation energy from the elements, meV/atom: 243
Polymorph energy (0 for the lowest one), eV per atom: 0.200

| no. | N(E_F) (states/eV/f.u.) | E (eV/atom) |
| --- | --- | --- |
| 1 | 3.9 | -6.68 |
| 2 | 16.6 | -6.90 |
| 3 | 8.7 | -6.84 |
| 4 | 4.8 | -7.23 |
| 5 | 3.9 | -6.76 |
| 6 | 4.9 | -5.94 |
| 7 | 6.6 | -6.67 |
| 8 | 28.0 | -6.77 |
| 9 | 4.0 | -7.22 |
| 10 | 16.1 | -7.04 |
| 11 | 6.2 | -6.24 |
| 12 | 6.1 | -7.05 |